<1>
{
  "formula": "Al2GaPd2",
  "functional": "GGA-PBE",
  "state": "relaxed",
  "lattice": [[-1.866, 1.866, 6.145], [1.866, -1.866, 6.145], [1.866, 1.866, -6.145]],
  "species": ["Al", "Al", "Ga", "Pd", "Pd"],
  "fractional_positions": [[0.250, 0.750, 0.500], [0.750, 0.250, 0.500], [0.000, 0.000, 0.000], [0.387, 0.387, 0.000], [0.613, 0.613, 0.000]],
  "crystal_system": "tetragonal"
}

***

<2>
{
  "formula": "Al2GaPd2",
  "functional": "GGA-PBE",
  "state": "relaxed",
  "lattice": [[4.247, 0.000, 0.000], [-2.123, 3.678, 0.000], [0.000, 0.000, 5.243]],
  "species": ["Al", "Al", "Ga", "Pd", "Pd"],
  "fractional_positions": [[0.333, 0.667, 0.355], [0.667, 0.333, 0.645], [0.000, 0.000, 0.000], [0.333, 0.667, 0.837], [0.667, 0.333, 0.163]],
  "crystal_system": "trigonal"
}

***

<3>
{
  "formula": "Al2GaPd2",
  "functional": "GGA-PBE",
  "state": "relaxed",
  "lattice": [[7.295, 0.000, 0.000], [0.000, 7.295, 0.000], [0.000, 0.000, 2.972]],
  "species": ["Al", "Al", "Al", "Al", "Ga", "Ga", "Pd", "Pd", "Pd", "Pd"],
  "fractional_positions": [[0.151, 0.349, 0.000], [0.349, 0.849, 0.000], [0.651, 0.151, 0.000], [0.849, 0.651, 0.000], [0.000, 0.000, 0.500], [0.500, 0.500, 0.500], [0.145, 0.645, 0.500], [0.355, 0.145, 0.500], [0.645, 0.855, 0.500], [0.855, 0.355, 0.500]],
  "crystal_system": "tetragonal"
}

***

Which of them is most stable, and which least? Most stable: <2>; least stable: <1>.

***

<1>
{
  "formula": "AlGaPd4",
  "functional": "GGA-PBE",
  "state": "relaxed",
  "lattice": [[6.659, 0.000, 0.000], [0.000, 3.756, 0.000], [0.000, 0.000, 14.673]],
  "species": ["Al", "Al", "Al", "Al", "Ga", "Ga", "Ga", "Ga", "Pd", "Pd", "Pd", "Pd", "Pd", "Pd", "Pd", "Pd", "Pd", "Pd", "Pd", "Pd", "Pd", "Pd", "Pd", "Pd"],
  "fractional_positions": [[0.236, 0.250, 0.054], [0.264, 0.750, 0.554], [0.736, 0.250, 0.446], [0.764, 0.750, 0.946], [0.242, 0.750, 0.306], [0.258, 0.250, 0.806], [0.742, 0.750, 0.194], [0.758, 0.250, 0.694], [0.005, 0.250, 0.570], [0.063, 0.750, 0.715], [0.107, 0.750, 0.149], [0.157, 0.750, 0.936], [0.343, 0.250, 0.436], [0.393, 0.250, 0.649], [0.437, 0.250, 0.215], [0.495, 0.750, 0.070], [0.505, 0.250, 0.930], [0.563, 0.750, 0.785], [0.607, 0.750, 0.351], [0.657, 0.750, 0.564], [0.843, 0.250, 0.064], [0.893, 0.250, 0.851], [0.937, 0.250, 0.285], [0.995, 0.750, 0.430]],
  "crystal_system": "orthorhombic"
}

***

<2>
{
  "formula": "AlGaPd4",
  "functional": "GGA-PBE",
  "state": "relaxed",
  "lattice": [[3.580, -2.068, 0.000], [3.580, 2.068, 0.000], [-2.378, 0.000, 6.741]],
  "species": ["Al", "Ga", "Pd", "Pd", "Pd", "Pd"],
  "fractional_positions": [[0.000, 0.000, 0.000], [0.500, 0.500, 0.500], [0.124, 0.124, 0.373], [0.374, 0.374, 0.123], [0.626, 0.626, 0.877], [0.876, 0.876, 0.627]],
  "crystal_system": "monoclinic"
}

***

Which of them is most stable, and which least? Most stable: <1>; least stable: <2>.

***

<1>
{
  "formula": "PuAlGaPd",
  "functional": "GGA-PBE",
  "state": "relaxed",
  "lattice": [[0.000, 3.343, 3.343], [3.343, 0.000, 3.343], [3.343, 3.343, 0.000]],
  "species": ["Pu", "Al", "Ga", "Pd"],
  "fractional_positions": [[0.000, 0.000, 0.000], [0.750, 0.750, 0.750], [0.250, 0.250, 0.250], [0.500, 0.500, 0.500]],
  "crystal_system": "cubic"
}

***

<2>
{
  "formula": "PuAlGaPd",
  "functional": "GGA-PBE",
  "state": "relaxed",
  "lattice": [[2.370, 1.368, 3.877], [-2.370, 1.368, 3.877], [0.000, -2.736, 3.877]],
  "species": ["Pu", "Al", "Ga", "Pd"],
  "fractional_positions": [[0.000, 0.000, 0.000], [0.250, 0.250, 0.250], [0.500, 0.500, 0.500], [0.751, 0.751, 0.751]],
  "crystal_system": "trigonal"
}

***

Which of them is most stable, and which least? Most stable: <1>; least stable: <2>.

***

<1>
{
  "formula": "AlGaPdRh",
  "functional": "GGA-PBE",
  "state": "relaxed",
  "lattice": [[0.000, 3.053, 3.053], [3.053, 0.000, 3.053], [3.053, 3.053, 0.000]],
  "species": ["Al", "Ga", "Pd", "Rh"],
  "fractional_positions": [[0.000, 0.000, 0.000], [0.500, 0.500, 0.500], [0.250, 0.250, 0.250], [0.750, 0.750, 0.750]],
  "crystal_system": "cubic"
}

***

<2>
{
  "formula": "AlGaPdRh",
  "functional": "GGA-PBE",
  "state": "relaxed",
  "lattice": [[2.924, 0.000, 0.000], [0.000, 2.924, 0.000], [0.000, 0.000, 6.691]],
  "species": ["Al", "Ga", "Pd", "Rh"],
  "fractional_positions": [[0.000, 0.000, 0.000], [0.000, 0.000, 0.519], [0.500, 0.500, 0.251], [0.500, 0.500, 0.768]],
  "crystal_system": "tetragonal"
}

***

Which of them is most stable, and which least? Most stable: <2>; least stable: <1>.